Record 1
Ta4CoRu: optimized geometry, GGA-PBE.

a b c (Å): 5.2926 5.2926 5.2926
angles (deg): 60.00 60.00 60.00
Closest atoms and distances in Å follow each position.
Fractional positions:
Ta (0.1254, 0.1254, 0.1254)  6 Ta 2.64-2.65
Ta (0.1254, 0.1254, 0.6238)  6 Ta 2.64-2.65
Ta (0.1254, 0.6238, 0.1254)  6 Ta 2.64-2.65
Ta (0.6238, 0.1254, 0.1254)  6 Ta 2.64-2.65
Co (0.7500, 0.7500, 0.7500)  12 Ta 3.10, 4 Ru 3.24
Ru (0.5000, 0.5000, 0.5000)  12 Ta 3.10, 4 Co 3.24

Calculated values
Formation enthalpy at 0 K = 0.573 eV/atom
Uncorrected energy = -60.35 eV per cell
Total magnetic moment = 0.649 μB per formula unit

---

Record 2
Ta3CoRu: optimized geometry, GGA-PBE.

a b c (Å): 4.5136 4.5136 4.5136
angles (deg): 90.00 90.00 90.00
Closest atoms and distances in Å follow each position.
Fractional positions:
Ta (0.0000, 0.0000, 0.5000)  2 Co 2.26
Ta (0.0000, 0.5000, 0.0000)  2 Co 2.26
Ta (0.5000, 0.0000, 0.0000)  2 Co 2.26
Co (0.0000, 0.0000, 0.0000)  6 Ta 2.26
Ru (0.5000, 0.5000, 0.5000)  12 Ta 3.19

Calculated values
Relative energy among the computed polymorphs = 0.00 eV per formula unit
Formation enthalpy at 0 K = 0.833 eV/atom
Uncorrected energy = -47.78 eV per cell
Total magnetic moment = 0.000 μB per formula unit